VASP calculation (GGA-PBE) on a relaxed Rb2CdAu3 crystal.

Results
* DOS at the Fermi energy: 0.227 states/eV per atom
* formation energy from the elements: -239 meV/atom
* total magnetization: 0.00 μB per cell
* distance to the lowest polymorph of the same formula: 6.0 meV/atom

Cell lengths 9.694, 9.648, 6.893 Å; angles 69.48, 68.77, 41.76 degrees
Atoms (fractional coordinates):
Rb: 0.243 0.757 0.243
Rb: 0.250 0.250 0.250
Rb: 0.750 0.750 0.750
Rb: 0.757 0.243 0.757
Cd: 0.334 0.334 0.666
Cd: 0.666 0.666 0.334
Au: 0.166 0.667 0.834
Au: 0.167 0.167 0.833
Au: 0.333 0.834 0.667
Au: 0.667 0.166 0.333
Au: 0.833 0.833 0.167
Au: 0.834 0.333 0.166

VASP calculation (GGA-PBE) on a relaxed RbCd3Au2 crystal.

Results
* DOS at the Fermi energy: 0.327 states/eV per atom
* formation energy from the elements: -204 meV/atom
* total magnetization: 0.00 μB per cell

Cell lengths 8.631, 8.631, 9.450 Å; angles 113.41, 113.41, 31.55 degrees
Atoms (fractional coordinates):
Rb: 0.158 0.158 0.084
Rb: 0.842 0.842 0.916
Cd: 0.018 0.018 0.333
Cd: 0.325 0.325 0.566
Cd: 0.404 0.404 0.318
Cd: 0.596 0.596 0.682
Cd: 0.675 0.675 0.434
Cd: 0.982 0.982 0.667
Au: 0.171 0.171 0.623
Au: 0.487 0.487 0.848
Au: 0.513 0.513 0.152
Au: 0.829 0.829 0.377

VASP calculation (GGA-PBE) on a relaxed Rb5Cd4Au4 crystal.

Results
* DOS at the Fermi energy: 0.384 states/eV per atom
* formation energy from the elements: -194 meV/atom
* total magnetization: 0.00 μB per cell

Cell lengths 9.843, 9.843, 9.843 Å; angles 93.49, 93.49, 151.42 degrees
Atoms (fractional coordinates):
Rb: 0.000 0.000 0.000
Rb: 0.292 0.359 0.651
Rb: 0.359 0.708 0.068
Rb: 0.641 0.292 0.932
Rb: 0.708 0.641 0.349
Cd: 0.106 0.567 0.673
Cd: 0.433 0.106 0.540
Cd: 0.567 0.894 0.460
Cd: 0.894 0.433 0.327
Au: 0.044 0.276 0.320
Au: 0.276 0.956 0.233
Au: 0.724 0.044 0.767
Au: 0.956 0.724 0.680